[1]
La2Al4ZnIr3 after structural relaxation. Source: Alexandria, functional GGA-PBE.

a b c (Å): 4.237 4.237 10.783
angles (deg): 90.00 90.00 90.00
Space group P-4m2 (No. 115)
Inequivalent atoms, fractional coordinates:
La 0.000 0.500 0.247 x2
Al 0.000 0.000 0.000 x1
Al 0.000 0.500 0.630 x2
Al 0.500 0.500 0.000 x1
Zn 0.000 0.000 0.500 x1
Ir 0.000 0.500 0.868 x2
Ir 0.500 0.500 0.500 x1

## Properties
Its magnetization is 0.00 μB per formula unit. Its uncorrected energy is -0.4416 Ry per atom. The formation energy comes out at -0.74 eV/atom.



[2]
BaNaTa after structural relaxation. Source: Alexandria, functional GGA-PBE.

a b c (Å): 3.642 3.642 15.569
angles (deg): 90.00 90.00 90.00
Space group P4mm (No. 99)
Inequivalent atoms, fractional coordinates:
Ba 0.000 0.000 0.000 x1
Ba 0.000 0.000 0.423 x1
Na 0.500 0.500 0.220 x1
Na 0.500 0.500 0.629 x1
Ta 0.000 0.000 0.775 x1
Ta 0.500 0.500 0.840 x1

## Properties
Its magnetization is 0.00 μB per formula unit. Its uncorrected energy is -0.3351 Ry per atom. The formation energy comes out at 0.47 eV/atom.



[3]
AlHg2W after structural relaxation. Source: Alexandria, functional GGA-PBE.

a b c (Å): 5.772 10.226 2.943
angles (deg): 90.00 118.71 90.00
Space group C2/m (No. 12)
Inequivalent atoms, fractional coordinates:
Al 0.000 0.000 0.000 x2
Hg 0.250 0.250 0.000 x4
W 0.000 0.500 0.000 x2

## Properties
Its magnetization is 0.00 μB per formula unit. Its uncorrected energy is -0.2777 Ry per atom. The formation energy comes out at 0.55 eV/atom.



[4]
Er2CoOs after structural relaxation. Source: Alexandria, functional GGA-PBE.

a b c (Å): 3.348 3.348 6.664
angles (deg): 90.00 90.00 90.00
Space group P4/mmm (No. 123)
Inequivalent atoms, fractional coordinates:
Er 0.000 0.000 0.249 x2
Co 0.500 0.500 0.000 x1
Os 0.500 0.500 0.500 x1

## Properties
Its magnetization is 0.00 μB per formula unit. Its uncorrected energy is -0.5176 Ry per atom. The formation energy comes out at -0.18 eV/atom.



[5]
Th6NiRu2Se3 after structural relaxation. Source: Alexandria, functional GGA-PBE.

a b c (Å): 7.081 12.246 7.725
angles (deg): 90.00 107.86 90.00
Space group C2/m (No. 12)
Inequivalent atoms, fractional coordinates:
Th 0.236 0.000 0.215 x4
Th 0.239 0.332 0.214 x8
Ni 0.000 0.500 0.000 x2
Ru 0.000 0.167 0.000 x4
Se 0.000 0.000 0.500 x2
Se 0.000 0.333 0.500 x4

## Properties
Its magnetization is 0.00 μB per formula unit. Its uncorrected energy is -0.5614 Ry per atom. The formation energy (no corrections) comes out at -1.03 eV per atom.



[6]
SiAg2PdRu after structural relaxation. Source: Alexandria, functional GGA-PBE.

a b c (Å): 5.006 5.006 4.397
angles (deg): 90.00 90.00 90.00
Space group P4/mmm (No. 123)
Inequivalent atoms, fractional coordinates:
Si 0.000 0.000 0.000 x1
Ag 0.000 0.500 0.500 x2
Pd 0.000 0.000 0.500 x1
Ru 0.500 0.500 0.000 x1

## Properties
Its magnetization is 2.38 μB per formula unit. Its uncorrected energy is -0.2926 Ry per atom. The formation energy (no corrections) comes out at 1.14 eV per atom.



[7]
KTiSCl2 after structural relaxation. Source: Alexandria, functional GGA-PBE.

a b c (Å): 5.043 5.043 4.727
angles (deg): 90.00 90.00 90.00
Space group P4/mmm (No. 123)
Inequivalent atoms, fractional coordinates:
K 0.000 0.000 0.000 x1
Ti 0.500 0.500 0.500 x1
S 0.500 0.500 0.000 x1
Cl 0.000 0.500 0.500 x2

## Properties
Its magnetization is 0.98 μB per formula unit. Its uncorrected energy is -0.3563 Ry per atom. The formation energy (no corrections) comes out at -1.48 eV per atom.



[8]
GeSbPd4 after structural relaxation. Source: Alexandria, functional GGA-PBE.

a b c (Å): 7.812 5.682 4.645
angles (deg): 90.00 90.06 90.00
Space group P2_1/c (No. 14)
Inequivalent atoms, fractional coordinates:
Ge 0.000 0.000 0.000 x2
Sb 0.500 0.000 0.500 x2
Pd 0.160 0.106 0.499 x4
Pd 0.316 0.593 0.500 x4

## Properties
Its magnetization is 0.00 μB per formula unit. Its uncorrected energy is -0.3913 Ry per atom. The formation energy (no corrections) comes out at -0.41 eV per atom.



[9]
Cu8AgSe6 after structural relaxation. Source: Alexandria, functional GGA-PBE.

a b c (Å): 6.7787 6.7787 21.4508
angles (deg): 90.00 90.00 120.00
Space group R-3 (No. 148, hexagonal axes)
Inequivalent atoms, fractional coordinates:
Cu 0.0000 0.0000 0.0642 x6
Cu 0.0260 0.2623 0.6426 x18
Ag 0.0000 0.0000 0.5000 x3
Se 0.0091 0.6858 0.2445 x18

## Properties
Its magnetization is 0.00 μB per formula unit. Its uncorrected energy is -0.2834 Ry per atom. The formation energy (no corrections) comes out at -0.09 eV per atom.



[10]
Pr3AgTe2 after structural relaxation. Source: Alexandria, functional GGA-PBE.

a b c (Å): 7.696 13.384 7.905
angles (deg): 90.00 109.21 90.00
Space group C2/m (No. 12)
Inequivalent atoms, fractional coordinates:
Pr 0.246 0.000 0.245 x4
Pr 0.249 0.168 0.753 x8
Ag 0.000 0.168 0.000 x4
Te 0.000 0.000 0.500 x2
Te 0.000 0.337 0.500 x4
Te 0.000 0.500 0.000 x2

## Properties
Its magnetization is 0.00 μB per formula unit. Its uncorrected energy is -0.3621 Ry per atom. The formation energy (no corrections) comes out at -1.01 eV per atom.



[11]
MnIn2Pb after structural relaxation. Source: Alexandria, functional GGA-PBE.

a b c (Å): 3.608 4.507 6.277
angles (deg): 90.00 106.43 90.00
Space group Pm (No. 6)
Inequivalent atoms, fractional coordinates:
Mn 0.000 0.000 0.000 x1
In 0.246 0.000 0.496 x1
In 0.849 0.500 0.699 x1
Pb 0.573 0.500 0.149 x1

## Properties
Its magnetization is 3.65 μB per formula unit. Its uncorrected energy is -0.3177 Ry per atom. The formation energy comes out at 0.27 eV/atom.



[12]
PmPu2Pd3 after structural relaxation. Source: Alexandria, functional GGA-PBE.

a b c (Å): 3.522 3.522 10.801
angles (deg): 90.00 90.00 90.00
Space group P4/mmm (No. 123)
Inequivalent atoms, fractional coordinates:
Pm 0.000 0.000 0.000 x1
Pu 0.000 0.000 0.337 x2
Pd 0.500 0.500 0.167 x2
Pd 0.500 0.500 0.500 x1

## Properties
Its magnetization is 11.42 μB per formula unit. Its uncorrected energy is -0.6383 Ry per atom. The formation energy comes out at -0.52 eV/atom.



Which of these has the lowest uncorrected energy?
PmPu2Pd3